DFT (GGA-PBEsol) results for CuHgAsRh2 after structural relaxation.

DOS(E_F) = 9.3 states/eV/f.u.
E = -3.381 eV/atom

Cell and atoms, written as POSCAR:
```
CuHgAsRh2
1.0
-0.800 1.708 -4.427
-0.550 -4.600 -1.676
-4.827 0.227 0.960
Cu As Rh Hg
1 1 2 1
direct
0.500 0.500 0.500
0.500 0.000 0.000
0.000 0.500 0.000
0.000 0.000 0.500
0.000 0.000 0.000
```

DFT (GGA-PBEsol) results for MnSb2Pb after structural relaxation.

DOS(E_F) = 2.4 states/eV/f.u.
raw formation energy = 1.04 eV/f.u.

Cell and atoms, written as POSCAR:
```
MnSb2Pb
1.0
-0.246 -3.357 -0.391
2.883 -0.413 1.732
-4.171 -0.490 6.826
Sb Pb Mn
2 1 1
direct
0.500 0.500 0.307
0.000 0.000 0.030
0.500 0.500 0.704
0.000 0.000 0.458
```

DFT (GGA-PBEsol) results for MnSbCl after structural relaxation.

DOS(E_F) = 1.2 states/eV/f.u.
raw formation energy = -0.88 eV/f.u.

Cell and atoms, written as POSCAR:
```
MnSbCl
1.0
-2.122 -2.526 -0.441
2.650 0.314 -1.989
3.719 -3.881 4.343
Cl Sb Mn
1 1 1
direct
0.000 0.000 0.900
0.667 0.333 0.408
0.333 0.667 0.692
```

DFT (GGA-PBEsol) results for AlRe2Rh after structural relaxation.

DOS(E_F) = 3.7 states/eV/f.u.
E = -9.597 eV/atom

Cell and atoms, written as POSCAR:
```
AlRe2Rh
1.0
2.719 0.000 0.000
0.000 4.565 0.000
0.000 0.000 4.565
Re Al Rh
2 1 1
direct
0.000 0.500 0.000
0.000 0.000 0.500
0.500 0.000 0.000
0.500 0.500 0.500
```

DFT (GGA-PBEsol) results for CoSi3 after structural relaxation.

DOS(E_F) = 2.5 states/eV/f.u.
raw formation energy = 0.87 eV/f.u.

Cell and atoms, written as POSCAR:
```
CoSi3
1.0
3.168 0.000 0.000
-1.056 4.373 0.000
-1.056 -2.186 3.787
Si Co
3 1
direct
0.500 0.500 0.000
0.000 0.500 0.500
0.500 0.000 0.500
0.000 0.000 0.000
```

DFT (GGA-PBEsol) results for BaZr3Re after structural relaxation.

DOS(E_F) = 6.6 states/eV/f.u.
E = -8.098 eV/atom

Cell and atoms, written as POSCAR:
```
BaZr3Re
1.0
5.178 0.000 0.000
0.000 5.178 0.000
0.000 0.000 5.178
Ba Zr Re
1 3 1
direct
0.500 0.500 0.500
0.000 0.000 0.500
0.500 0.000 0.000
0.000 0.500 0.000
0.000 0.000 0.000
```

Look up the DOS(E_F) of the first one.
9.3 states/eV/f.u.